1.
First-principles (PBE) data for an optimized crystal structure of Tb2YMg4, as listed in Alexandria via LeMat-Bulk.

Geometry as extended XYZ:
```
7
Lattice="-2.6881 2.6881 7.2642 2.6881 -2.6881 7.2642 2.6881 2.6881 -7.2642" Properties=species:S:1:pos:R:3 pbc="T T T"
Tb 0.0000 0.0000 3.6175
Tb 0.0000 0.0000 10.9109
Y 0.0000 0.0000 7.2642
Mg 2.6881 0.0000 1.7031
Mg 2.6881 0.0000 5.5611
Mg 0.0000 2.6881 1.7031
Mg 0.0000 2.6881 5.5611
```

Final energy ... -21.19 eV/cell
Space-group type ... No. 139
ΔH_f (0 K) ... 0.130 eV/atom
V ... 210.0 Å³/cell


2.
First-principles (PBE) data for an optimized crystal structure of SrPa2IrN4, as listed in Alexandria via LeMat-Bulk.

Geometry as extended XYZ:
```
16
Lattice="1.7509 -5.9779 0.0000 1.7509 5.9779 0.0000 0.0000 0.0000 11.9752" Properties=species:S:1:pos:R:3 pbc="T T T"
Sr 1.7509 4.7741 8.9814
Sr 1.7509 -4.7741 2.9938
Pa 1.7509 1.5803 6.6920
Pa 1.7509 1.5803 11.2708
Pa 1.7509 -1.5803 0.7044
Pa 1.7509 -1.5803 5.2832
Ir 1.7509 4.0325 2.9938
Ir 1.7509 -4.0325 8.9814
N 0.0000 0.0000 0.0000
N 0.0000 0.0000 5.9876
N 1.7509 2.8217 1.1602
N 1.7509 2.8217 4.8274
N 1.7509 0.7271 8.9814
N 1.7509 -0.7271 2.9938
N 1.7509 -2.8217 7.1478
N 1.7509 -2.8217 10.8150
```

Final energy ... -143.63 eV/cell
Space-group type ... No. 63
V ... 250.7 Å³/cell


3.
First-principles (PBE) data for an optimized crystal structure of SrSiSb, as listed in Alexandria via LeMat-Bulk.

Geometry as extended XYZ:
```
6
Lattice="8.1198 -2.0664 0.0000 8.1198 2.0664 0.0000 -0.8771 0.0000 5.6798" Properties=species:S:1:pos:R:3 pbc="T T T"
Sr 2.1269 0.0000 1.0540
Sr 13.2355 0.0000 4.6258
Si 0.0761 0.0000 3.8956
Si 15.2862 0.0000 1.7842
Sb 5.4539 0.0000 1.8824
Sb 9.9084 0.0000 3.7974
```

Final energy ... -25.07 eV/cell
Space-group type ... No. 12
V ... 190.6 Å³/cell


4.
First-principles (PBE) data for an optimized crystal structure of AlZnGa2O6, as listed in Alexandria via LeMat-Bulk.

Geometry as extended XYZ:
```
20
Lattice="4.8116 -4.4339 0.0000 4.8116 4.4339 0.0000 -0.9304 0.0000 5.1808" Properties=species:S:1:pos:R:3 pbc="T T T"
Al 4.1138 3.7190 3.8856
Al 4.5790 -3.7190 1.2952
Zn 4.5790 2.0320 1.2952
Zn 4.1138 -2.0320 3.8856
Ga 2.2875 0.8195 3.4943
Ga 2.7527 -0.8195 0.9040
Ga 5.9402 0.8195 4.2768
Ga 6.4054 -0.8195 1.6864
O 0.4426 0.6676 3.1463
O 2.9887 2.2874 4.4074
O 0.9077 -0.6676 0.5559
O 3.1408 0.7231 1.8580
O 5.2390 2.2874 3.3638
O 2.6756 -0.7231 4.4484
O 6.0172 0.7231 0.7324
O 3.4538 -2.2874 1.8170
O 5.5521 -0.7231 3.3228
O 7.7851 0.6676 4.6248
O 5.7042 -2.2874 0.7734
O 8.2503 -0.6676 2.0345
```

Final energy ... -118.78 eV/cell
Space-group type ... No. 15
V ... 221.1 Å³/cell


5.
First-principles (PBE) data for an optimized crystal structure of Cs2ReIBr6, as listed in Alexandria via LeMat-Bulk.

Geometry as extended XYZ:
```
10
Lattice="-4.2152 4.2152 5.9891 4.2152 -4.2152 5.9891 4.2152 4.2152 -5.9891" Properties=species:S:1:pos:R:3 pbc="T T T"
Cs 4.2152 0.0000 2.9945
Cs 0.0000 4.2152 2.9945
Re 0.0000 0.0000 0.0000
I 0.0000 0.0000 5.9891
Br 0.0000 0.0000 2.5308
Br 1.7901 1.7901 0.0000
Br 2.4250 -2.4250 5.9891
Br -2.4250 2.4250 5.9891
Br 2.4250 2.4250 5.9891
Br 0.0000 0.0000 9.4473
```

Final energy ... -33.62 eV/cell
Space-group type ... No. 139
V ... 425.7 Å³/cell


6.
First-principles (PBE) data for an optimized crystal structure of HPtCl2, as listed in Alexandria via LeMat-Bulk.

Geometry as extended XYZ:
```
4
Lattice="0.0000 3.1689 3.1689 3.1689 0.0000 3.1689 3.1689 3.1689 0.0000" Properties=species:S:1:pos:R:3 pbc="T T T"
H 0.0000 0.0000 0.0000
Pt 3.1689 3.1689 3.1689
Cl 1.5844 1.5844 1.5844
Cl 4.7533 4.7533 4.7533
```

Final energy ... -9.51 eV/cell
Space-group type ... No. 225
V ... 63.6 Å³/cell


7.
First-principles (PBE) data for an optimized crystal structure of AgHBr2, as listed in Alexandria via LeMat-Bulk.

Geometry as extended XYZ:
```
4
Lattice="0.0000 3.4561 3.4561 3.4561 0.0000 3.4561 3.4561 3.4561 0.0000" Properties=species:S:1:pos:R:3 pbc="T T T"
Ag 0.0000 0.0000 0.0000
H 3.4561 3.4561 3.4561
Br 1.7281 1.7281 1.7281
Br 5.1842 5.1842 5.1842
```

Final energy ... -7.22 eV/cell
Space-group type ... No. 225
V ... 82.6 Å³/cell


8.
First-principles (PBE) data for an optimized crystal structure of RbVGa2, as listed in Alexandria via LeMat-Bulk.

Geometry as extended XYZ:
```
8
Lattice="-2.7829 2.7829 8.6728 2.7829 -2.7829 8.6728 2.7829 2.7829 -8.6728" Properties=species:S:1:pos:R:3 pbc="T T T"
Rb 2.7829 1.3914 2.1682
Rb 0.0000 1.3914 6.5046
V 2.7829 -1.3914 6.5046
V 0.0000 4.1743 2.1682
Ga 0.0000 0.0000 0.0000
Ga 1.3914 1.3914 -4.3364
Ga 1.3914 -1.3914 4.3364
Ga 0.0000 2.7829 0.0000
```

Final energy ... -28.24 eV/cell
Space-group type ... No. 141
ΔH_f (0 K) ... 0.505 eV/atom
V ... 268.7 Å³/cell


9.
First-principles (PBE) data for an optimized crystal structure of Li4Sm3PaSe8, as listed in Alexandria via LeMat-Bulk.

Geometry as extended XYZ:
```
16
Lattice="4.1219 2.3798 6.5376 -4.1219 2.3798 6.5376 0.0000 -4.7595 6.5376" Properties=species:S:1:pos:R:3 pbc="T T T"
Li 0.0000 0.0000 0.0000
Li -2.0609 -1.1899 6.5376
Li -2.0609 1.1899 13.0752
Li 0.0000 2.3798 6.5376
Sm -4.1219 0.0000 9.8064
Sm -2.0609 1.1899 3.2688
Sm 2.0609 1.1899 3.2688
Pa 0.0000 0.0000 9.8064
Se 0.0000 -2.3409 8.1091
Se -2.0273 1.1705 8.1091
Se 0.0000 0.0000 4.9716
Se -2.0273 -1.1705 11.5037
Se 2.0273 1.1705 8.1091
Se 0.0000 0.0000 14.6412
Se 2.0273 -1.1705 11.5037
Se 0.0000 2.3409 11.5037
```

Final energy ... -84.16 eV/cell
Space-group type ... No. 166
V ... 384.7 Å³/cell


10.
First-principles (PBE) data for an optimized crystal structure of LaGaRuN, as listed in Alexandria via LeMat-Bulk.

Geometry as extended XYZ:
```
8
Lattice="4.0651 0.0000 0.0000 0.0000 4.0651 0.0000 0.0000 0.0000 8.7909" Properties=species:S:1:pos:R:3 pbc="T T T"
La 1.0163 1.0163 1.3530
La 3.0488 3.0488 7.4379
Ga 1.0163 3.0488 4.3954
Ga 3.0488 1.0163 4.3954
Ru 1.0163 1.0163 5.8895
Ru 3.0488 3.0488 2.9013
N 1.0163 1.0163 7.7917
N 3.0488 3.0488 0.9992
```

Final energy ... -56.13 eV/cell
Space-group type ... No. 129
V ... 145.3 Å³/cell


11.
First-principles (PBE) data for an optimized crystal structure of LiPtRh, as listed in Alexandria via LeMat-Bulk.

Geometry as extended XYZ:
```
6
Lattice="3.2182 0.0000 0.0000 0.0000 3.2182 0.0000 0.0000 0.0000 8.1442" Properties=species:S:1:pos:R:3 pbc="T T T"
Li 0.0000 0.0000 1.3036
Li 0.0000 0.0000 6.8406
Pt 1.6091 1.6091 2.6677
Pt 1.6091 1.6091 5.4766
Rh 0.0000 0.0000 4.0721
Rh 1.6091 1.6091 0.0000
```

Final energy ... -31.13 eV/cell
Space-group type ... No. 123
ΔH_f (0 K) ... -0.087 eV/atom
V ... 84.3 Å³/cell


12.
First-principles (PBE) data for an optimized crystal structure of ZrCu2Ru, as listed in Alexandria via LeMat-Bulk.

Geometry as extended XYZ:
```
4
Lattice="3.2947 0.0000 0.0000 0.0000 3.2947 0.0000 0.0000 0.0000 5.6300" Properties=species:S:1:pos:R:3 pbc="T T T"
Zr 0.0000 0.0000 0.0000
Cu 0.0000 0.0000 2.7703
Cu 1.6474 1.6474 1.6436
Ru 1.6474 1.6474 4.2462
```

Final energy ... -26.57 eV/cell
Space-group type ... No. 99
ΔH_f (0 K) ... -0.138 eV/atom
V ... 61.1 Å³/cell